[1]
Material: Li2HCl
Method: DFT, meta-GGA SCAN
State: PBEsol geometry

raw total energy	-5.233	eV per atom
N(E_F)	0.0	states/eV/cell

Unit cell a=4.906 b=4.906 c=9.641 alpha=90.00 beta=90.00 gamma=90.00
Space group I-42d (No. 122)
Unique sites:
Li  0.176  0.250  0.125 (multiplicity 8)
H  0.000  0.000  0.000 (multiplicity 4)
Cl  0.000  0.000  0.500 (multiplicity 4)

[2]
Material: LiMgH2Cl
Method: DFT, meta-GGA SCAN
State: PBEsol geometry

raw total energy	-5.243	eV per atom
N(E_F)	0.0	states/eV/cell

Unit cell a=3.673 b=3.673 c=5.250 alpha=90.00 beta=90.00 gamma=90.00
Space group P4/mmm (No. 123)
Unique sites:
Li  0.000  0.000  0.000 (multiplicity 1)
Mg  0.500  0.500  0.500 (multiplicity 1)
H  0.000  0.500  0.500 (multiplicity 2)
Cl  0.500  0.500  0.000 (multiplicity 1)

[3]
Material: Li4H3ClO3
Method: DFT, meta-GGA SCAN
State: PBEsol geometry

raw total energy	-5.976	eV per atom
N(E_F)	0.0	states/eV/cell

Unit cell a=5.293 b=7.260 c=6.126 alpha=90.00 beta=92.53 gamma=90.00
Space group P2_1/m (No. 11)
Unique sites:
Li  0.064  0.250  0.420 (multiplicity 2)
Li  0.350  0.515  0.648 (multiplicity 4)
Li  0.393  0.250  0.166 (multiplicity 2)
H  0.154  0.750  0.894 (multiplicity 2)
H  0.180  0.543  0.265 (multiplicity 4)
Cl  0.152  0.250  0.825 (multiplicity 2)
O  0.248  0.750  0.760 (multiplicity 2)
O  0.285  0.048  0.345 (multiplicity 4)

[4]
Material: LiH2ClO
Method: DFT, meta-GGA SCAN
State: PBEsol geometry

raw total energy	-6.165	eV per atom
N(E_F)	0.0	states/eV/cell

Unit cell a=7.583 b=7.499 c=7.525 alpha=90.00 beta=90.00 gamma=90.00
Space group Cmcm (No. 63)
Unique sites:
Li  0.000  0.000  0.000 (multiplicity 4)
Li  0.000  0.314  0.250 (multiplicity 4)
H  0.102  0.320  0.575 (multiplicity 16)
Cl  0.238  0.032  0.250 (multiplicity 8)
O  0.000  0.268  0.510 (multiplicity 8)

[5]
Material: LiHS2Cl
Method: DFT, meta-GGA SCAN
State: PBEsol geometry

raw total energy	-5.888	eV per atom
N(E_F)	2.1	states/eV/cell

Unit cell a=4.352 b=4.352 c=4.756 alpha=90.00 beta=90.00 gamma=90.00
Space group P4/mmm (No. 123)
Unique sites:
Li  0.000  0.000  0.000 (multiplicity 1)
H  0.500  0.500  0.500 (multiplicity 1)
S  0.000  0.500  0.000 (multiplicity 2)
Cl  0.000  0.000  0.500 (multiplicity 1)

[6]
Material: LuH2ClO2
Method: DFT, meta-GGA SCAN
State: PBEsol geometry

raw total energy	-16.093	eV per atom
N(E_F)	0.0	states/eV/cell

Unit cell a=6.090 b=3.446 c=6.423 alpha=90.00 beta=104.01 gamma=90.00
Space group P2_1/m (No. 11)
Unique sites:
Lu  0.224  0.250  0.398 (multiplicity 2)
H  0.123  0.250  0.812 (multiplicity 2)
H  0.373  0.750  0.744 (multiplicity 2)
Cl  0.274  0.750  0.074 (multiplicity 2)
O  0.039  0.250  0.660 (multiplicity 2)
O  0.395  0.750  0.597 (multiplicity 2)